Entry from Alexandria: a relaxed CsTl3Rh crystal (GGA-PBE).

Cell: 14.8546 14.8546 14.8546 Å, 90.00 90.00 90.00°
Closest atoms and distances in Å follow each position.
Space group Fd-3m (No. 227, origin choice 2)
Symmetry-distinct sites (fractional):
Cs 0.0000 0.0000 0.0000 x16  6 Tl 4.05
Tl 0.0421 0.3750 0.8750 x48  2 Rh 2.70
Rh 0.0000 0.0000 0.5000 x16  6 Tl 2.70

ΔH_f (0 K), eV per atom: 0.0234

***

Entry from Alexandria: a relaxed ErScSi2Pt5 crystal (GGA-PBE).

Cell: 4.1090 4.1090 8.9835 Å, 90.00 90.00 90.00°
Closest atoms and distances in Å follow each position.
Space group P4/mmm (No. 123)
Symmetry-distinct sites (fractional):
Er 0.0000 0.0000 0.0000 x1  12 Pt 2.91-2.96
Sc 0.0000 0.0000 0.5000 x1  8 Si 3.12, 8 Pt 3.13
Si 0.5000 0.5000 0.3732 x2  1 Si 2.28, 4 Pt 2.39
Pt 0.0000 0.5000 0.2368 x4  2 Si 2.39
Pt 0.5000 0.5000 0.0000 x1  4 Er 2.91, 8 Pt 2.96

Formation energy (no corrections), eV per atom: -1.058